Entry 1:
Material: AcLaTbEr2
Method: DFT, PBE
State: optimized geometry

a = 5.870 Å, b = 6.406 Å, c = 9.826 Å
α = 71.20°, β = 90.00°, γ = 90.00°
Fractional coordinates of all 10 atoms:
Er (0.250, 0.221, 0.206)
Er (0.250, 0.032, 0.597)
Er (0.750, 0.968, 0.403)
Er (0.750, 0.779, 0.794)
La (0.750, 0.362, 0.598)
La (0.250, 0.638, 0.402)
Tb (0.750, 0.163, 0.004)
Tb (0.250, 0.837, 0.996)
Ac (0.250, 0.431, 0.805)
Ac (0.750, 0.569, 0.195)

## Properties
Formation energy in kJ/mol of atoms: 4.6
Space-group type: P2_1/m, No. 11

Entry 2:
Material: KAlRe
Method: DFT, PBE
State: optimized geometry

a = 8.332 Å, b = 8.175 Å, c = 2.773 Å
α = 83.54°, β = 77.15°, γ = 19.31°
Fractional coordinates of all 3 atoms:
Al (0.019, 0.019, 0.981)
Re (0.649, 0.649, 0.351)
K (0.331, 0.331, 0.669)

## Properties
Formation energy in kJ/mol of atoms: 66.7
Space-group type: Fmm2, No. 42

Entry 3:
Material: AcNdInAu
Method: DFT, PBE
State: optimized geometry

a = 5.549 Å, b = 5.549 Å, c = 5.549 Å
α = 60.00°, β = 60.00°, γ = 60.00°
Fractional coordinates of all 4 atoms:
Nd (0.250, 0.250, 0.250)
Au (0.000, 0.000, 0.000)
Ac (0.750, 0.750, 0.750)
In (0.500, 0.500, 0.500)

## Properties
Formation energy in kJ/mol of atoms: -51.3
Space-group type: F-43m, No. 216

Entry 4:
Material: YCu2Si2
Method: DFT, PBE
State: optimized geometry

a = 7.430 Å, b = 7.430 Å, c = 2.867 Å
α = 90.00°, β = 90.00°, γ = 90.00°
Fractional coordinates of all 10 atoms:
Cu (0.881, 0.619, 0.000)
Cu (0.119, 0.381, 0.000)
Cu (0.619, 0.119, 0.000)
Cu (0.381, 0.881, 0.000)
Si (0.673, 0.827, 0.500)
Si (0.327, 0.173, 0.500)
Si (0.827, 0.327, 0.500)
Si (0.173, 0.673, 0.500)
Y (0.000, 0.000, 0.000)
Y (0.500, 0.500, 0.000)

## Properties
Space-group type: P4/mbm, No. 127
Energy relative to the elements, uncorrected in meV/atom: -103

Entry 5:
Material: Nd2CdSn4Pt3
Method: DFT, PBE
State: optimized geometry

a = 4.515 Å, b = 4.515 Å, c = 11.433 Å
α = 90.00°, β = 90.00°, γ = 90.00°
Fractional coordinates of all 10 atoms:
Pt (0.000, 0.500, 0.129)
Pt (0.500, 0.000, 0.871)
Pt (0.000, 0.000, 0.500)
Cd (0.500, 0.500, 0.500)
Nd (0.000, 0.500, 0.749)
Nd (0.500, 0.000, 0.251)
Sn (0.000, 0.000, 0.000)
Sn (0.500, 0.500, 0.000)
Sn (0.000, 0.500, 0.356)
Sn (0.500, 0.000, 0.644)

## Properties
Formation energy in kJ/mol of atoms: -70.4
Space-group type: P-4m2, No. 115

Entry 6:
Material: Nd2EuH
Method: DFT, PBE
State: optimized geometry

a = 3.780 Å, b = 3.780 Å, c = 9.339 Å
α = 78.32°, β = 78.32°, γ = 60.00°
Fractional coordinates of all 4 atoms:
Nd (0.718, 0.718, 0.846)
Nd (0.282, 0.282, 0.154)
H (0.000, 0.000, 0.000)
Eu (0.500, 0.500, 0.500)

## Properties
Space-group type: R-3m, No. 166
Final energy in eV for the cell shown: -23.73

Entry 7:
Material: Dy2FeTc3
Method: DFT, PBE
State: optimized geometry

a = 5.280 Å, b = 5.280 Å, c = 5.432 Å
α = 89.98°, β = 119.08°, γ = 120.03°
Fractional coordinates of all 6 atoms:
Tc (0.500, 0.500, 0.500)
Tc (0.500, 0.000, 0.500)
Tc (0.000, 0.000, 0.500)
Fe (0.000, 0.000, 0.000)
Dy (0.248, 0.624, 0.872)
Dy (0.752, 0.376, 0.128)

## Properties
Formation energy in kJ/mol of atoms: -14.4
Space-group type: R-3m, No. 166

Entry 8:
Material: Tb3Y2Ho6
Method: DFT, PBE
State: optimized geometry

a = 3.545 Å, b = 3.545 Å, c = 31.811 Å
α = 86.81°, β = 86.81°, γ = 60.00°
Fractional coordinates of all 11 atoms:
Tb (0.273, 0.273, 0.182)
Tb (0.000, 0.000, 0.000)
Tb (0.727, 0.727, 0.818)
Ho (0.636, 0.636, 0.091)
Ho (0.364, 0.364, 0.909)
Ho (0.818, 0.818, 0.545)
Ho (0.909, 0.909, 0.272)
Ho (0.182, 0.182, 0.455)
Ho (0.091, 0.091, 0.728)
Y (0.455, 0.455, 0.636)
Y (0.545, 0.545, 0.364)

## Properties
Formation energy in kJ/mol of atoms: 2.0
Space-group type: R-3m, No. 166

Entry 9:
Material: AlCdMo
Method: DFT, PBE
State: optimized geometry

a = 7.235 Å, b = 7.080 Å, c = 2.820 Å
α = 81.72°, β = 75.59°, γ = 22.69°
Fractional coordinates of all 3 atoms:
Al (0.989, 0.989, 0.011)
Cd (0.668, 0.668, 0.332)
Mo (0.343, 0.343, 0.657)

## Properties
Formation energy in kJ/mol of atoms: 21.6
Space-group type: Fmm2, No. 42

Entry 10:
Material: MnZn2Hg
Method: DFT, PBE
State: optimized geometry

a = 2.949 Å, b = 2.912 Å, c = 8.224 Å
α = 68.70°, β = 90.00°, γ = 90.00°
Fractional coordinates of all 4 atoms:
Hg (0.500, 0.250, 0.250)
Mn (0.500, 0.750, 0.750)
Zn (0.000, 0.469, 0.537)
Zn (0.000, 0.031, 0.963)

## Properties
Formation energy in kJ/mol of atoms: 12.5
Space-group type: P2/m, No. 10

Entry 11:
Material: CeDy2Tl3
Method: DFT, PBE
State: optimized geometry

a = 3.615 Å, b = 3.615 Å, c = 12.805 Å
α = 90.00°, β = 90.00°, γ = 90.00°
Fractional coordinates of all 6 atoms:
Dy (0.500, 0.500, 0.163)
Dy (0.500, 0.500, 0.837)
Ce (0.500, 0.500, 0.500)
Tl (0.000, 0.000, 0.326)
Tl (0.000, 0.000, 0.674)
Tl (0.000, 0.000, 0.000)

## Properties
Formation energy in kJ/mol of atoms: -29.6
Space-group type: P4/mmm, No. 123

Entry 12:
Material: TcHgPb2
Method: DFT, PBE
State: optimized geometry

a = 5.848 Å, b = 5.848 Å, c = 5.848 Å
α = 136.01°, β = 136.01°, γ = 63.96°
Fractional coordinates of all 4 atoms:
Tc (0.500, 0.500, 0.000)
Hg (0.750, 0.250, 0.500)
Pb (0.000, 0.000, 0.000)
Pb (0.250, 0.750, 0.500)

## Properties
Formation energy in kJ/mol of atoms: 66.2
Space-group type: I-4m2, No. 119